Here is a geometry-optimized NbSn structure from Alexandria. Energies are from PBE.

Summary:
Formation energy from the elements = 210 meV/atom
DFT total energy = -6.827 eV per atom
ρ = 7.7 Mg/m³
Space-group type = P6_3/m (176)
V = 22.73 Å³ per atom

Cell lengths 9.4962, 9.4962, 3.4930 Å; angles 90.00, 90.00, 120.00 degrees
With the nearest neighbours (Å) after each atom.
Element x y z (fractional)
Nb  0.8600  0.4546  0.7500  4 Nb 2.78-2.93, 5 Sn 2.96-3.02
Nb  0.4546  0.5946  0.2500  4 Nb 2.78-2.93, 5 Sn 2.96-3.02
Nb  0.4054  0.8600  0.2500  4 Nb 2.78-2.93, 5 Sn 2.96-3.02
Nb  0.1400  0.5454  0.2500  4 Nb 2.78-2.93, 5 Sn 2.96-3.02
Nb  0.5946  0.1400  0.7500  4 Nb 2.78-2.93, 5 Sn 2.96-3.02
Nb  0.5454  0.4054  0.7500  4 Nb 2.78-2.93, 5 Sn 2.96-3.02
Sn  0.6702  0.8718  0.7500  5 Nb 2.96-3.02, 4 Sn 3.24
Sn  0.1282  0.7985  0.7500  5 Nb 2.96-3.02, 4 Sn 3.24
Sn  0.8718  0.2015  0.2500  5 Nb 2.96-3.02, 4 Sn 3.24
Sn  0.2015  0.3298  0.7500  5 Nb 2.96-3.02, 4 Sn 3.24
Sn  0.7985  0.6702  0.2500  5 Nb 2.96-3.02, 4 Sn 3.24
Sn  0.3298  0.1282  0.2500  5 Nb 2.96-3.02, 4 Sn 3.24